Compound: Na2SnAsCO7
Source: the Alexandria database
Functional: PBE
Structure: optimized geometry

a = 5.431 Å, b = 7.100 Å, c = 9.383 Å
α = 90.00°, β = 90.45°, γ = 90.00°
Element x y z (fractional)
Na1 0.240 0.002 0.211
Na2 0.240 0.498 0.211
Na3 0.760 0.502 0.789
Na4 0.760 0.998 0.789
Sn1 0.210 0.250 0.636
Sn2 0.790 0.750 0.364
As1 0.287 0.750 0.589
As2 0.713 0.250 0.411
C1 0.268 0.250 0.922
C2 0.732 0.750 0.078
O1 0.050 0.250 0.857
O2 0.171 0.554 0.674
O3 0.171 0.946 0.674
O4 0.194 0.750 0.411
O5 0.292 0.250 0.055
O6 0.394 0.250 0.408
O7 0.459 0.250 0.834
O8 0.541 0.750 0.166
O9 0.606 0.750 0.592
O10 0.708 0.750 0.945
O11 0.806 0.250 0.589
O12 0.829 0.054 0.326
O13 0.829 0.446 0.326
O14 0.950 0.750 0.143

- Density of states at the Fermi level: 3.82 states/eV per cell
- VASP energy: -6.106 eV/atom
- Formation energy (no corrections): -1.504 eV per atom
- Density: 3.3 Mg/m³